Below is a relaxed structure of Pm3GeB2Pt9, with properties calculated at the PBE level.

a = 5.808 Å, b = 5.808 Å, c = 9.225 Å
α = 90.00°, β = 90.00°, γ = 120.00°
Sites, in units of the cell vectors:
Pm  0.000  0.000  0.000
Pm  0.333  0.667  0.608
Pm  0.667  0.333  0.392
Ge  0.000  0.000  0.500
B  0.333  0.667  0.149
B  0.667  0.333  0.851
Pt  0.000  0.500  0.000
Pt  0.166  0.332  0.289
Pt  0.166  0.834  0.289
Pt  0.332  0.166  0.711
Pt  0.500  0.000  0.000
Pt  0.500  0.500  0.000
Pt  0.668  0.834  0.289
Pt  0.834  0.166  0.711
Pt  0.834  0.668  0.711

The electronic total energy comes out at -6.58 eV/atom. As for the formation enthalpy at 0 K: -0.810 eV/atom.


Below is a relaxed structure of PmGeBRh3, with properties calculated at the PBE level.

a = 6.731 Å, b = 6.731 Å, c = 5.798 Å
α = 90.00°, β = 90.00°, γ = 129.44°
Sites, in units of the cell vectors:
Pm  0.244  0.756  0.750
Pm  0.756  0.244  0.250
Ge  0.121  0.879  0.250
Ge  0.879  0.121  0.750
B  0.487  0.513  0.250
B  0.513  0.487  0.750
Rh  0.249  0.249  0.000
Rh  0.249  0.249  0.500
Rh  0.316  0.684  0.250
Rh  0.684  0.316  0.750
Rh  0.751  0.751  0.000
Rh  0.751  0.751  0.500

The electronic total energy comes out at -7.02 eV/atom. As for the formation enthalpy at 0 K: -0.672 eV/atom.


Below is a relaxed structure of Pm3GeB2Rh9, with properties calculated at the PBE level.

a = 6.149 Å, b = 6.149 Å, c = 7.593 Å
α = 90.00°, β = 90.00°, γ = 120.00°
Sites, in units of the cell vectors:
Pm  0.000  0.000  0.000
Pm  0.333  0.667  0.664
Pm  0.667  0.333  0.336
Ge  0.000  0.000  0.500
B  0.333  0.667  0.146
B  0.667  0.333  0.854
Rh  0.000  0.500  0.000
Rh  0.178  0.356  0.313
Rh  0.178  0.822  0.313
Rh  0.356  0.178  0.687
Rh  0.500  0.000  0.000
Rh  0.500  0.500  0.000
Rh  0.644  0.822  0.313
Rh  0.822  0.178  0.687
Rh  0.822  0.644  0.687

The electronic total energy comes out at -7.22 eV/atom. As for the formation enthalpy at 0 K: -0.658 eV/atom.


Below is a relaxed structure of Pm2GeBRh6, with properties calculated at the PBE level.

a = 6.247 Å, b = 6.247 Å, c = 6.247 Å
α = 120.06°, β = 119.94°, γ = 90.00°
Sites, in units of the cell vectors:
Pm  0.250  0.250  0.000
Pm  0.750  0.750  0.000
Ge  0.500  0.000  0.500
B  0.000  0.500  0.500
Rh  0.233  0.733  0.500
Rh  0.234  0.267  0.500
Rh  0.234  0.733  0.967
Rh  0.766  0.267  0.033
Rh  0.766  0.733  0.500
Rh  0.767  0.267  0.500

The electronic total energy comes out at -7.11 eV/atom. As for the formation enthalpy at 0 K: -0.617 eV/atom.


Below is a relaxed structure of PmTc2Ge2B, with properties calculated at the PBE level.

a = 4.259 Å, b = 4.259 Å, c = 5.468 Å
α = 90.00°, β = 90.00°, γ = 90.00°
Sites, in units of the cell vectors:
Pm  0.000  0.000  0.000
Tc  0.000  0.500  0.500
Tc  0.500  0.000  0.500
Ge  0.500  0.500  0.230
Ge  0.500  0.500  0.770
B  0.000  0.000  0.500

The electronic total energy comes out at -7.42 eV/atom. As for the formation enthalpy at 0 K: -0.517 eV/atom.


Below is a relaxed structure of Pr3GeB2Pt9, with properties calculated at the PBE level.

a = 5.850 Å, b = 5.850 Å, c = 9.249 Å
α = 90.00°, β = 90.00°, γ = 120.00°
Sites, in units of the cell vectors:
Pr  0.000  0.000  0.000
Pr  0.333  0.667  0.609
Pr  0.667  0.333  0.391
Ge  0.000  0.000  0.500
B  0.333  0.667  0.149
B  0.667  0.333  0.851
Pt  0.000  0.500  0.000
Pt  0.166  0.332  0.289
Pt  0.166  0.834  0.289
Pt  0.332  0.166  0.711
Pt  0.500  0.000  0.000
Pt  0.500  0.500  0.000
Pt  0.668  0.834  0.289
Pt  0.834  0.166  0.711
Pt  0.834  0.668  0.711

The electronic total energy comes out at -6.56 eV/atom. As for the formation enthalpy at 0 K: -0.781 eV/atom.


Below is a relaxed structure of Pr2GeB2Rh5, with properties calculated at the PBE level.

a = 9.638 Å, b = 9.638 Å, c = 3.297 Å
α = 90.00°, β = 90.00°, γ = 90.00°
Sites, in units of the cell vectors:
Pr  0.177  0.323  0.000
Pr  0.323  0.823  0.000
Pr  0.677  0.177  0.000
Pr  0.823  0.677  0.000
Ge  0.000  0.000  0.000
Ge  0.500  0.500  0.000
B  0.120  0.620  0.000
B  0.380  0.120  0.000
B  0.620  0.880  0.000
B  0.880  0.380  0.000
Rh  0.000  0.500  0.500
Rh  0.069  0.778  0.500
Rh  0.222  0.069  0.500
Rh  0.278  0.569  0.500
Rh  0.431  0.278  0.500
Rh  0.500  0.000  0.500
Rh  0.569  0.722  0.500
Rh  0.722  0.431  0.500
Rh  0.778  0.931  0.500
Rh  0.931  0.222  0.500

The electronic total energy comes out at -7.06 eV/atom. As for the formation enthalpy at 0 K: -0.626 eV/atom.


Below is a relaxed structure of PrGeBRh3, with properties calculated at the PBE level.

a = 6.759 Å, b = 6.759 Å, c = 5.826 Å
α = 90.00°, β = 90.00°, γ = 129.33°
Sites, in units of the cell vectors:
Pr  0.245  0.755  0.750
Pr  0.755  0.245  0.250
Ge  0.118  0.882  0.250
Ge  0.882  0.118  0.750
B  0.484  0.516  0.250
B  0.516  0.484  0.750
Rh  0.251  0.251  0.000
Rh  0.251  0.251  0.500
Rh  0.314  0.686  0.250
Rh  0.686  0.314  0.750
Rh  0.749  0.749  0.000
Rh  0.749  0.749  0.500

The electronic total energy comes out at -7.02 eV/atom. As for the formation enthalpy at 0 K: -0.670 eV/atom.


Below is a relaxed structure of Pr3GeB2Rh9, with properties calculated at the PBE level.

a = 6.185 Å, b = 6.185 Å, c = 7.631 Å
α = 90.00°, β = 90.00°, γ = 120.00°
Sites, in units of the cell vectors:
Pr  0.000  0.000  0.000
Pr  0.333  0.667  0.664
Pr  0.667  0.333  0.336
Ge  0.000  0.000  0.500
B  0.333  0.667  0.145
B  0.667  0.333  0.855
Rh  0.000  0.500  0.000
Rh  0.179  0.357  0.313
Rh  0.179  0.821  0.313
Rh  0.357  0.179  0.687
Rh  0.500  0.000  0.000
Rh  0.500  0.500  0.000
Rh  0.643  0.821  0.313
Rh  0.821  0.179  0.687
Rh  0.821  0.643  0.687

The electronic total energy comes out at -7.19 eV/atom. As for the formation enthalpy at 0 K: -0.628 eV/atom.


Below is a relaxed structure of Pr2Ge2BRu2, with properties calculated at the PBE level.

a = 6.072 Å, b = 6.072 Å, c = 7.265 Å
α = 126.61°, β = 126.61°, γ = 41.78°
Sites, in units of the cell vectors:
Pr  0.061  0.061  0.324
Pr  0.939  0.939  0.676
Ge  0.334  0.334  0.886
Ge  0.666  0.666  0.114
B  0.500  0.500  0.500
Ru  0.294  0.294  0.186
Ru  0.706  0.706  0.814

The electronic total energy comes out at -6.98 eV/atom. As for the formation enthalpy at 0 K: -0.687 eV/atom.


Below is a relaxed structure of PrGe2BRu2, with properties calculated at the PBE level.

a = 4.190 Å, b = 4.190 Å, c = 5.609 Å
α = 90.00°, β = 90.00°, γ = 90.00°
Sites, in units of the cell vectors:
Pr  0.000  0.000  0.000
Ge  0.500  0.500  0.225
Ge  0.500  0.500  0.775
B  0.000  0.000  0.500
Ru  0.000  0.500  0.500
Ru  0.500  0.000  0.500

The electronic total energy comes out at -7.09 eV/atom. As for the formation enthalpy at 0 K: -0.548 eV/atom.


Below is a relaxed structure of PrTc2Ge2B, with properties calculated at the PBE level.

a = 4.269 Å, b = 4.269 Å, c = 5.522 Å
α = 90.00°, β = 90.00°, γ = 90.00°
Sites, in units of the cell vectors:
Pr  0.000  0.000  0.000
Tc  0.000  0.500  0.500
Tc  0.500  0.000  0.500
Ge  0.500  0.500  0.232
Ge  0.500  0.500  0.768
B  0.000  0.000  0.500

The electronic total energy comes out at -7.42 eV/atom. As for the formation enthalpy at 0 K: -0.515 eV/atom.